(1)
Here is a crystal of Mg2CdIn relaxed with PBEsol from the Alexandria database. Energies are from SCAN.

Unit cell a=5.456 b=5.456 c=5.456 alpha=132.24 beta=132.24 gamma=69.86
Positions (direct):
Mg1 0.000 0.000 0.000
Mg2 0.750 0.250 0.500
Cd1 0.500 0.500 0.000
In1 0.250 0.750 0.500

Properties
The calculation puts the formation energy at -0.14 eV per atom. Its total energy is -18.5754 eV/atom. For the total moment, the calculation gives 0.000 Bohr magnetons per cell.


(2)
Here is a crystal of MgCdIn2 relaxed with PBEsol from the Alexandria database. Energies are from SCAN.

Unit cell a=6.376 b=6.376 c=6.376 alpha=151.83 beta=129.24 gamma=59.06
Positions (direct):
Mg1 0.000 0.000 0.000
Cd1 0.234 0.734 0.500
In1 0.487 0.487 0.000
In2 0.752 0.252 0.500

Properties
The calculation puts the formation energy at -0.01 eV per atom. Its total energy is -25.5541 eV/atom. For the total moment, the calculation gives 0.000 Bohr magnetons per cell.


(3)
Here is a crystal of MgCdIn2 relaxed with PBEsol from the Alexandria database. Energies are from SCAN.

Unit cell a=3.303 b=4.390 c=6.315 alpha=90.00 beta=90.07 gamma=90.00
Positions (direct):
Mg1 0.000 0.000 0.000
Cd1 0.000 0.000 0.500
In1 0.499 0.500 0.750
In2 0.501 0.500 0.250

Properties
The calculation puts the formation energy at -0.06 eV per atom. Its total energy is -25.5966 eV/atom. For the total moment, the calculation gives 0.000 Bohr magnetons per cell.